First-principles (PBE with a Hubbard U) data for crystalline BaFeCuO3 at its relaxed geometry, as listed in Alexandria via LeMat-Bulk.

a b c (Å): 9.662 6.532 6.491
angles (deg): 90.00 116.99 90.00
Space group C2/m (No. 12)
Unique sites:
Ba 0.202 0.000 0.162 [4 per cell]
Fe 0.077 0.500 0.236 [4 per cell]
Cu 0.000 0.198 0.500 [4 per cell]
O 0.044 0.262 0.811 [8 per cell]
O 0.206 0.000 0.603 [4 per cell]

Output
* calculated volume: 365.0 Å³/cell
* crystal system: monoclinic
* uncorrected energy: -5.86 eV per atom